DFT (PBE-GGA) results for a relaxed structure of AlPbCl2.

Computed properties:
space group	F-43m
energy above the lowest structure with this stoichiometry	450.6	meV per atom
formation energy (no corrections)	-54.7	kJ/mol of formula units
DOS at the Fermi energy	3.0	states/eV per cell
theoretical density	5.2	g/cm3

Unit cell a=5.177 b=5.177 c=5.177 alpha=60.00 beta=60.00 gamma=60.00
Fractional coordinates of all 4 atoms:
Al 0.000 0.000 0.000
Pb 0.250 0.250 0.250
Cl 0.500 0.500 0.500
Cl 0.750 0.750 0.750

***

DFT (PBE-GGA) results for a relaxed structure of DyMnBe4.

Computed properties:
space group	F-43m
DOS at the Fermi energy	2.9	states/eV per cell
energy of formation from the pure elements	3	meV per atom
theoretical density	5.9	g/cm3

Unit cell a=4.653 b=4.653 c=4.653 alpha=60.00 beta=60.00 gamma=60.00
Fractional coordinates of all 6 atoms:
Dy 0.000 0.000 0.000
Mn 0.750 0.750 0.750
Be 0.379 0.379 0.379
Be 0.379 0.379 0.864
Be 0.379 0.864 0.379
Be 0.864 0.379 0.379

***

DFT (PBE-GGA) results for a relaxed structure of TiW8.

Computed properties:
space group	I4/mmm
DOS at the Fermi energy	4.8	states/eV per cell
energy of formation from the pure elements	-64	meV per atom
theoretical density	17.4	g/cm3

Unit cell a=6.933 b=6.933 c=6.933 alpha=93.01 beta=93.01 gamma=153.49
Fractional coordinates of all 9 atoms:
Ti 0.000 0.000 0.000
W 0.000 0.332 0.332
W 0.000 0.668 0.668
W 0.332 0.000 0.332
W 0.332 0.332 0.664
W 0.332 0.668 0.000
W 0.668 0.000 0.668
W 0.668 0.332 0.000
W 0.668 0.668 0.336

***

DFT (PBE-GGA) results for a relaxed structure of Dy4Ho19Tm6.

Computed properties:
space group	I23
DOS at the Fermi energy	44.9	states/eV per cell
energy of formation from the pure elements	397	meV per atom
theoretical density	8.5	g/cm3

Unit cell a=10.690 b=10.690 c=10.690 alpha=109.47 beta=109.47 gamma=109.47
Fractional coordinates of all 29 atoms:
Dy 0.000 0.000 0.643
Dy 0.000 0.643 0.000
Dy 0.357 0.357 0.357
Dy 0.643 0.000 0.000
Ho 0.000 0.000 0.000
Ho 0.000 0.263 0.263
Ho 0.000 0.737 0.737
Ho 0.012 0.799 0.339
Ho 0.201 0.213 0.540
Ho 0.213 0.540 0.201
Ho 0.263 0.000 0.263
Ho 0.263 0.263 0.000
Ho 0.327 0.787 0.988
Ho 0.339 0.012 0.799
Ho 0.460 0.673 0.661
Ho 0.540 0.201 0.213
Ho 0.661 0.460 0.673
Ho 0.673 0.661 0.460
Ho 0.737 0.000 0.737
Ho 0.737 0.737 0.000
Ho 0.787 0.988 0.327
Ho 0.799 0.339 0.012
Ho 0.988 0.327 0.787
Tm 0.128 0.628 0.500
Tm 0.372 0.500 0.872
Tm 0.500 0.128 0.628
Tm 0.500 0.872 0.372
Tm 0.628 0.500 0.128
Tm 0.872 0.372 0.500

***

DFT (PBE-GGA) results for a relaxed structure of PmInSn6.

Computed properties:
space group	Cmmm
energy above the lowest structure with this stoichiometry	0.0	meV per atom
DOS at the Fermi energy	3.7	states/eV per cell
energy of formation from the pure elements	-213	meV per atom
theoretical density	7.5	g/cm3

Unit cell a=6.755 b=6.755 c=4.742 alpha=90.00 beta=90.00 gamma=90.10
Fractional coordinates of all 8 atoms:
Pm 0.000 0.000 0.000
In 0.500 0.500 0.000
Sn 0.000 0.500 0.000
Sn 0.258 0.258 0.500
Sn 0.258 0.742 0.500
Sn 0.500 0.000 0.000
Sn 0.742 0.258 0.500
Sn 0.742 0.742 0.500

***

DFT (PBE-GGA) results for a relaxed structure of NaLiAcSb.

Computed properties:
space group	F-43m
formation energy (no corrections)	-134.3	kJ/mol of formula units
DOS at the Fermi energy	2.4	states/eV per cell
theoretical density	5.2	g/cm3

Unit cell a=5.540 b=5.540 c=5.540 alpha=60.00 beta=60.00 gamma=60.00
Fractional coordinates of all 4 atoms:
Na 0.000 0.000 0.000
Li 0.750 0.750 0.750
Ac 0.500 0.500 0.500
Sb 0.250 0.250 0.250